1.
Material: VBNF2
Method: DFT, PBE with a Hubbard U
State: optimized geometry

Values from the calculation:
Volume ... 51 Å³/f.u.
Energy relative to the lowest polymorph listed for this composition ... 0.000 eV per atom
Total magnetic moment ... 3.0 Bohr magnetons per cell
ρ ... 3.69 g/cm3
Calculated total energy ... -6.062 eV/atom

Structure (POSCAR):
```
VBNF2
1.0
4.3223 0.0000 0.0000
0.0000 4.3223 0.0000
0.0000 0.0000 2.7427
V B N F
1 1 1 2
direct
0.0000 0.0000 0.0000
0.5000 0.5000 0.5000
0.5000 0.5000 0.0000
0.0000 0.5000 0.5000
0.5000 0.0000 0.5000
```


2.
Material: VBN2F
Method: DFT, PBE with a Hubbard U
State: optimized geometry

Values from the calculation:
Volume ... 40 Å³/f.u.
Energy relative to the lowest polymorph listed for this composition ... 0.000 eV per atom
Total magnetic moment ... 2.0 Bohr magnetons per cell
ρ ... 4.49 g/cm3
Calculated total energy ... -6.325 eV/atom

Structure (POSCAR):
```
VBN2F
1.0
3.4035 0.0000 0.0000
0.0000 3.4035 0.0000
0.0000 0.0000 3.4700
V B N F
1 1 2 1
direct
0.0000 0.0000 0.0000
0.5000 0.5000 0.5000
0.0000 0.5000 0.5000
0.5000 0.0000 0.5000
0.5000 0.5000 0.0000
```


3.
Material: VBN2F
Method: DFT, PBE with a Hubbard U
State: optimized geometry

Values from the calculation:
Volume ... 57 Å³/f.u.
Energy relative to the lowest polymorph listed for this composition ... 0.658 eV per atom
Total magnetic moment ... 0.5 Bohr magnetons per cell
ρ ... 3.17 g/cm3
Calculated total energy ... -5.667 eV/atom

Structure (POSCAR):
```
VBN2F
1.0
3.8109 0.0000 0.0000
0.0000 3.8109 0.0000
0.0000 0.0000 3.9289
V B N F
1 1 2 1
direct
0.0000 0.0000 0.0000
0.5000 0.5000 0.5000
0.0000 0.5000 0.0000
0.5000 0.0000 0.0000
0.0000 0.0000 0.5000
```


4.
Material: VBNF2
Method: DFT, PBE with a Hubbard U
State: optimized geometry

Values from the calculation:
Volume ... 61 Å³/f.u.
Energy relative to the lowest polymorph listed for this composition ... 0.630 eV per atom
Total magnetic moment ... 1.0 Bohr magnetons per cell
ρ ... 3.11 g/cm3
Calculated total energy ... -5.432 eV/atom

Structure (POSCAR):
```
VBNF2
1.0
3.9863 0.0000 0.0000
0.0000 3.9863 0.0000
0.0000 0.0000 3.8266
V B N F
1 1 1 2
direct
0.0000 0.0000 0.0000
0.5000 0.5000 0.5000
0.0000 0.0000 0.5000
0.0000 0.5000 0.0000
0.5000 0.0000 0.0000
```


5.
Material: BWNF2
Method: DFT, PBE with a Hubbard U
State: optimized geometry

Values from the calculation:
Volume ... 56 Å³/f.u.
Energy relative to the lowest polymorph listed for this composition ... 0.000 eV per atom
Total magnetic moment ... 3.3 Bohr magnetons per cell
ρ ... 7.35 g/cm3
Calculated total energy ... -5.690 eV/atom

Structure (POSCAR):
```
BWNF2
1.0
4.5154 0.0000 0.0000
0.0000 4.5154 0.0000
0.0000 0.0000 2.7330
B W N F
1 1 1 2
direct
0.0000 0.0000 0.0000
0.5000 0.5000 0.5000
0.0000 0.0000 0.5000
0.0000 0.5000 0.0000
0.5000 0.0000 0.0000
```


6.
Material: BWNF2
Method: DFT, PBE with a Hubbard U
State: optimized geometry

Values from the calculation:
Volume ... 71 Å³/f.u.
Energy relative to the lowest polymorph listed for this composition ... 0.436 eV per atom
Total magnetic moment ... 2.0 Bohr magnetons per cell
ρ ... 5.78 g/cm3
Calculated total energy ... -5.254 eV/atom

Structure (POSCAR):
```
BWNF2
1.0
4.2163 0.0000 0.0000
0.0000 4.2163 0.0000
0.0000 0.0000 3.9861
B W N F
1 1 1 2
direct
0.0000 0.0000 0.0000
0.5000 0.5000 0.5000
0.5000 0.5000 0.0000
0.0000 0.5000 0.5000
0.5000 0.0000 0.5000
```


7.
Material: BWN2F
Method: DFT, PBE with a Hubbard U
State: optimized geometry

Values from the calculation:
Volume ... 42 Å³/f.u.
Energy relative to the lowest polymorph listed for this composition ... 0.000 eV per atom
Total magnetic moment ... 2.0 Bohr magnetons per cell
ρ ... 9.62 g/cm3
Calculated total energy ... -6.172 eV/atom

Structure (POSCAR):
```
BWN2F
1.0
3.6529 0.0000 0.0000
0.0000 3.6529 0.0000
0.0000 0.0000 3.1264
B W N F
1 1 2 1
direct
0.0000 0.0000 0.0000
0.5000 0.5000 0.5000
0.0000 0.5000 0.0000
0.5000 0.0000 0.0000
0.0000 0.0000 0.5000
```


8.
Material: BWN2F
Method: DFT, PBE with a Hubbard U
State: optimized geometry

Values from the calculation:
Volume ... 65 Å³/f.u.
Energy relative to the lowest polymorph listed for this composition ... 0.425 eV per atom
Total magnetic moment ... 0.3 Bohr magnetons per cell
ρ ... 6.18 g/cm3
Calculated total energy ... -5.747 eV/atom

Structure (POSCAR):
```
BWN2F
1.0
3.9784 0.0000 0.0000
0.0000 3.9784 0.0000
0.0000 0.0000 4.1039
B W N F
1 1 2 1
direct
0.0000 0.0000 0.0000
0.5000 0.5000 0.5000
0.0000 0.5000 0.5000
0.5000 0.0000 0.5000
0.5000 0.5000 0.0000
```